The following is a DFT calculation (PBE+U) of a relaxed CsCoGeO4 crystal.

Cell: 5.404 5.659 7.789 Å, 90.00 91.12 90.00°
Space group P2_1/m (No. 11)
Asymmetric unit:
1 Cs 0.240 0.250 0.391 x2
2 Co 0.172 0.750 0.022 x2
3 Ge 0.341 0.250 0.873 x2
4 O 0.105 0.023 0.860 x4
5 O 0.390 0.750 0.253 x2
6 O 0.495 0.250 0.076 x2

Results
crystal system	monoclinic



The following is a DFT calculation (PBE+U) of a relaxed Cs2CoGeO4 crystal.

Cell: 5.287 12.649 21.809 Å, 90.00 90.00 90.00°
Space group Fddd (No. 70, origin choice 2)
Asymmetric unit:
1 Cs 0.125 0.125 0.299 x16
2 Co 0.125 0.125 0.625 x8
3 Ge 0.125 0.125 0.125 x8
4 O 0.095 0.297 0.418 x32

Results
crystal system	orthorhombic



no.,magnetic moment (μB per formula unit),E (eV for the cell shown)
1,4.00,-79.2
2,3.02,-347.3